1.
DFT (PBE) results for an optimized crystal structure of LaSn2Rh5.

Spin magnetization: 0.00 μB per formula unit
Calculated formation energy: -41 kJ/mol of atoms
D(E_F): 7.415 states/eV per cell
Space-group type: Immm

The structure in POSCAR format:
```
LaSn2Rh5
1.0
-2.006 3.464 5.529
2.006 -3.464 5.529
2.006 3.464 -5.529
La Sn Rh
1 2 5
Cartesian
0.000 0.000 0.000
2.006 0.000 2.917
0.000 3.464 2.613
2.006 2.079 -1.384
2.006 2.079 1.384
0.000 3.464 0.000
0.000 1.385 4.146
0.000 1.385 6.913
```

2.
DFT (PBE) results for an optimized crystal structure of Pu8As3Se4.

Spin magnetization: 0.91 μB per formula unit
D(E_F): 78.549 states/eV per cell
Space-group type: C2/m
Formation energy without anion corrections: -1.0975 eV/atom

The structure in POSCAR format:
```
Pu8As3Se4
1.0
5.804 -5.802 0.000
5.804 5.802 0.000
-5.779 0.000 5.845
Pu As Se
8 3 4
Cartesian
-2.974 0.000 5.820
5.804 2.996 0.000
0.000 0.000 2.909
2.914 2.907 2.923
2.914 -2.907 2.923
5.829 0.000 2.936
5.804 -2.996 0.000
8.802 0.000 0.026
-2.890 0.000 2.923
0.012 2.901 2.923
0.012 -2.901 2.923
2.902 2.901 0.000
2.902 -2.901 0.000
5.804 0.000 0.000
2.914 0.000 2.923
```

3.
DFT (PBE) results for an optimized crystal structure of Tc2PAu.

Spin magnetization: 0.00 μB per formula unit
Calculated formation energy: 11 kJ/mol of atoms
D(E_F): 4.457 states/eV per cell
Space-group type: R3m

The structure in POSCAR format:
```
Tc2PAu
1.0
1.418 0.819 8.893
-1.418 0.819 8.893
0.000 -1.637 8.893
Tc P Au
2 1 1
Cartesian
0.000 0.000 0.000
0.000 0.000 6.760
0.000 0.000 19.607
0.000 0.000 13.236
```

4.
DFT (PBE) results for an optimized crystal structure of LiPuBiO.

Spin magnetization: 4.81 μB per formula unit
D(E_F): 15.448 states/eV per cell
Space-group type: P4/nmm
Formation energy without anion corrections: -1.3133 eV/atom

The structure in POSCAR format:
```
LiPuBiO
1.0
4.558 0.000 0.000
0.000 4.558 0.000
0.000 0.000 8.209
Li Pu Bi O
2 2 2 2
Cartesian
1.140 1.140 1.507
3.419 3.419 6.703
1.140 3.419 4.105
3.419 1.140 4.105
1.140 1.140 6.800
3.419 3.419 1.409
1.140 1.140 3.477
3.419 3.419 4.732
```

5.
DFT (PBE) results for an optimized crystal structure of Ca3PuPt8.

Spin magnetization: 5.25 μB per formula unit
Calculated formation energy: -88 kJ/mol of atoms
D(E_F): 20.690 states/eV per cell
Space-group type: R3m

The structure in POSCAR format:
```
Ca3PuPt8
1.0
2.730 1.576 8.887
-2.730 1.576 8.887
0.000 -3.153 8.887
Ca Pu Pt
3 1 8
Cartesian
0.000 0.000 0.000
0.000 0.000 3.305
0.000 0.000 16.720
0.000 0.000 13.369
0.000 -1.570 6.110
-1.360 0.785 6.110
-1.361 -0.786 10.581
0.000 0.000 8.348
1.360 0.785 6.110
1.361 -0.786 10.581
0.000 1.571 10.581
0.000 0.000 21.672
```

6.
DFT (PBE) results for an optimized crystal structure of Ba2NbMoRu.

Spin magnetization: 2.31 μB per formula unit
Calculated formation energy: 168 kJ/mol of atoms
D(E_F): 11.250 states/eV per cell
Space-group type: P4/mmm

The structure in POSCAR format:
```
Ba2NbMoRu
1.0
6.206 0.000 0.000
0.000 6.206 0.000
0.000 0.000 4.644
Ba Nb Mo Ru
2 1 1 1
Cartesian
0.000 3.103 0.000
3.103 0.000 0.000
0.000 0.000 0.000
0.000 0.000 2.322
3.103 3.103 2.322
```

7.
DFT (PBE) results for an optimized crystal structure of La8Sb3Te4Se.

Spin magnetization: 0.00 μB per formula unit
D(E_F): 9.418 states/eV per cell
Space-group type: R-3m
Formation energy without anion corrections: -1.5497 eV/atom

The structure in POSCAR format:
```
La8Sb3Te4Se
1.0
4.562 2.634 7.487
-4.562 2.634 7.487
0.000 -5.267 7.487
La Sb Te Se
8 3 4 1
Cartesian
0.000 0.000 5.564
-2.234 -1.290 13.009
0.000 -2.580 9.453
-2.234 1.290 9.453
2.234 -1.290 13.009
0.000 2.580 13.009
2.234 1.290 9.453
0.000 0.000 16.898
-4.562 0.000 11.231
-2.281 1.317 3.744
2.281 1.317 3.744
0.000 0.000 0.000
-2.281 -1.317 7.487
-2.281 1.317 14.975
0.000 2.634 7.487
0.000 0.000 11.231
```

8.
DFT (PBE) results for an optimized crystal structure of Ta4Co.

Spin magnetization: 0.33 μB per formula unit
Calculated formation energy: 71 kJ/mol of atoms
D(E_F): 5.805 states/eV per cell
Space-group type: Im-3m

The structure in POSCAR format:
```
Ta4Co
1.0
-2.889 2.889 2.889
2.889 -2.889 2.889
2.889 2.889 -2.889
Ta Co
4 1
Cartesian
1.445 1.445 -1.445
1.445 -1.445 1.445
-1.445 1.445 1.445
1.445 1.445 1.445
0.000 0.000 0.000
```

9.
DFT (PBE) results for an optimized crystal structure of Pr3Nd4Y4.

Spin magnetization: 0.00 μB per formula unit
Calculated formation energy: 14 kJ/mol of atoms
D(E_F): 17.758 states/eV per cell
Space-group type: Amm2

The structure in POSCAR format:
```
Pr3Nd4Y4
1.0
10.834 0.000 0.000
0.000 2.912 6.109
0.000 -2.912 6.109
Pr Nd Y
3 4 4
Cartesian
0.000 0.000 0.000
3.199 0.000 1.851
7.635 0.000 1.851
0.000 0.000 8.626
2.290 0.000 6.142
5.417 0.000 7.676
8.544 0.000 6.142
0.000 0.000 3.687
3.242 0.000 10.353
5.417 0.000 4.370
7.592 0.000 10.353
```

10.
DFT (PBE) results for an optimized crystal structure of YZn2Br.

Spin magnetization: 0.00 μB per formula unit
D(E_F): 4.598 states/eV per cell
Space-group type: Fm-3m
Formation energy without anion corrections: 0.0614 eV/atom

The structure in POSCAR format:
```
YZn2Br
1.0
0.000 3.628 3.628
3.628 0.000 3.628
3.628 3.628 0.000
Y Zn Br
1 2 1
Cartesian
0.000 0.000 0.000
1.814 1.814 1.814
5.442 5.442 5.442
3.628 3.628 3.628
```

11.
DFT (PBE) results for an optimized crystal structure of TcHg3.

Spin magnetization: 0.85 μB per formula unit
Calculated formation energy: 50 kJ/mol of atoms
D(E_F): 2.702 states/eV per cell
Space-group type: P-6m2

The structure in POSCAR format:
```
TcHg3
1.0
3.064 0.000 0.000
-1.532 2.653 0.000
0.000 0.000 10.085
Tc Hg
1 3
Cartesian
0.000 0.000 0.000
0.000 0.000 5.043
1.532 0.884 2.290
1.532 0.884 7.795
```

12.
DFT (PBE) results for an optimized crystal structure of SmScSeS.

Spin magnetization: 0.00 μB per formula unit
D(E_F): 1.015 states/eV per cell
Space-group type: R3m
Formation energy without anion corrections: -1.7938 eV/atom

The structure in POSCAR format:
```
SmScSeS
1.0
1.915 1.106 6.867
-1.915 1.106 6.867
0.000 -2.211 6.867
Sm Sc Se S
1 1 1 1
Cartesian
0.000 0.000 0.000
0.000 0.000 3.809
0.000 0.000 8.869
0.000 0.000 12.075
```